1.
Entry from Alexandria via LeMat-Bulk: a relaxed structure of NbBSe6 (PBE).

Structure (CIF):
```
data_NbBSe6
_cell_length_a 6.3866
_cell_length_b 6.5299
_cell_length_c 6.5608
_cell_angle_alpha 69.06
_cell_angle_beta 66.17
_cell_angle_gamma 83.81
_space_group_name_H-M_alt 'P -1'
_space_group_IT_number 2
loop_
_space_group_symop_operation_xyz
'x,y,z'
'-x,-y,-z'
loop_
_atom_site_label
_atom_site_type_symbol
_atom_site_fract_x
_atom_site_fract_y
_atom_site_fract_z
_atom_site_occupancy
Nb1 Nb 0.0000 0.0000 0.0000 1
B1 B 0.0000 0.0000 0.5000 1
Se1 Se 0.0900 0.2351 0.5427 1
Se2 Se 0.1493 0.6333 0.9284 1
Se3 Se 0.4310 0.0870 0.8473 1
```


2.
Entry from Alexandria via LeMat-Bulk: a relaxed structure of Nb4BSe5 (PBE).

Structure (CIF):
```
data_Nb4BSe5
_cell_length_a 16.0084
_cell_length_b 3.4662
_cell_length_c 7.3425
_cell_angle_alpha 90.00
_cell_angle_beta 102.68
_cell_angle_gamma 90.00
_space_group_name_H-M_alt 'C 1 2/m 1'
_space_group_IT_number 12
loop_
_space_group_symop_operation_xyz
'x,y,z'
'-x,-y,-z'
'-x,y,-z'
'x,-y,z'
'x+1/2,y+1/2,z'
'-x+1/2,-y+1/2,-z'
'-x+1/2,y+1/2,-z'
'x+1/2,-y+1/2,z'
loop_
_atom_site_label
_atom_site_type_symbol
_atom_site_fract_x
_atom_site_fract_y
_atom_site_fract_z
_atom_site_occupancy
Nb1 Nb 0.0020 0.0000 0.2935 1
Nb2 Nb 0.1404 0.5000 0.5707 1
B1 B 0.0000 0.5000 0.5000 1
Se1 Se 0.0000 0.5000 0.0000 1
Se2 Se 0.1619 0.0000 0.8400 1
Se3 Se 0.1717 0.0000 0.3252 1
```


3.
Entry from Alexandria via LeMat-Bulk: a relaxed structure of NbB3Se (PBE).

Structure (CIF):
```
data_NbB3Se
_cell_length_a 4.0150
_cell_length_b 4.0150
_cell_length_c 4.0150
_cell_angle_alpha 90.00
_cell_angle_beta 90.00
_cell_angle_gamma 90.00
_space_group_name_H-M_alt 'P m -3 m'
_space_group_IT_number 221
_space_group_name_Hall '-P 4 2 3'
loop_
_atom_site_label
_atom_site_type_symbol
_atom_site_fract_x
_atom_site_fract_y
_atom_site_fract_z
_atom_site_occupancy
Nb1 Nb 0.0000 0.0000 0.0000 1
B1 B 0.0000 0.5000 0.5000 1
Se1 Se 0.5000 0.5000 0.5000 1
```

Its offset from the most stable computed form is 41.8 meV/atom.


4.
Entry from Alexandria via LeMat-Bulk: a relaxed structure of Nb2SiBSe (PBE).

Structure (CIF):
```
data_Nb2SiBSe
_cell_length_a 4.8517
_cell_length_b 4.8517
_cell_length_c 3.8230
_cell_angle_alpha 90.00
_cell_angle_beta 90.00
_cell_angle_gamma 90.00
_space_group_name_H-M_alt 'P 4/m m m'
_space_group_IT_number 123
_space_group_name_Hall '-P 4 2'
loop_
_atom_site_label
_atom_site_type_symbol
_atom_site_fract_x
_atom_site_fract_y
_atom_site_fract_z
_atom_site_occupancy
Nb1 Nb 0.0000 0.5000 0.0000 1
Si1 Si 0.0000 0.0000 0.5000 1
B1 B 0.5000 0.5000 0.5000 1
Se1 Se 0.5000 0.5000 0.0000 1
```


5.
Entry from Alexandria via LeMat-Bulk: a relaxed structure of TaNbBSe2 (PBE).

Structure (CIF):
```
data_TaNbBSe2
_cell_length_a 4.4611
_cell_length_b 4.4611
_cell_length_c 4.2233
_cell_angle_alpha 90.00
_cell_angle_beta 90.00
_cell_angle_gamma 90.00
_space_group_name_H-M_alt 'P 4/m m m'
_space_group_IT_number 123
_space_group_name_Hall '-P 4 2'
loop_
_atom_site_label
_atom_site_type_symbol
_atom_site_fract_x
_atom_site_fract_y
_atom_site_fract_z
_atom_site_occupancy
Ta1 Ta 0.0000 0.0000 0.0000 1
Nb1 Nb 0.5000 0.5000 0.0000 1
B1 B 0.0000 0.0000 0.5000 1
Se1 Se 0.0000 0.5000 0.5000 1
```


6.
Entry from Alexandria via LeMat-Bulk: a relaxed structure of NbSi3B (PBE).

Structure (CIF):
```
data_NbSi3B
_cell_length_a 4.1273
_cell_length_b 4.1273
_cell_length_c 4.1273
_cell_angle_alpha 90.00
_cell_angle_beta 90.00
_cell_angle_gamma 90.00
_space_group_name_H-M_alt 'P m -3 m'
_space_group_IT_number 221
_space_group_name_Hall '-P 4 2 3'
loop_
_atom_site_label
_atom_site_type_symbol
_atom_site_fract_x
_atom_site_fract_y
_atom_site_fract_z
_atom_site_occupancy
Nb1 Nb 0.0000 0.0000 0.0000 1
Si1 Si 0.0000 0.5000 0.5000 1
B1 B 0.5000 0.5000 0.5000 1
```

Its offset from the most stable computed form is 0.0 meV/atom.


7.
Entry from Alexandria via LeMat-Bulk: a relaxed structure of Nb3SiB (PBE).

Structure (CIF):
```
data_Nb3SiB
_cell_length_a 6.0972
_cell_length_b 6.0972
_cell_length_c 4.8064
_cell_angle_alpha 90.00
_cell_angle_beta 90.00
_cell_angle_gamma 120.00
_space_group_name_H-M_alt 'P 63/m m c'
_space_group_IT_number 194
_space_group_name_Hall '-P 6c 2c'
loop_
_atom_site_label
_atom_site_type_symbol
_atom_site_fract_x
_atom_site_fract_y
_atom_site_fract_z
_atom_site_occupancy
Nb1 Nb 0.1759 0.3517 0.2500 1
Si1 Si 0.3333 0.6667 0.7500 1
B1 B 0.0000 0.0000 0.0000 1
```

Its offset from the most stable computed form is 0.0 meV/atom.


8.
Entry from Alexandria via LeMat-Bulk: a relaxed structure of Nb10Si3B3 (PBE).

Structure (CIF):
```
data_Nb10Si3B3
_cell_length_a 8.9730
_cell_length_b 11.7543
_cell_length_c 9.0367
_cell_angle_alpha 90.00
_cell_angle_beta 90.00
_cell_angle_gamma 90.00
_space_group_name_H-M_alt 'F m m 2'
_space_group_IT_number 42
_space_group_name_Hall 'F 2 -2'
loop_
_atom_site_label
_atom_site_type_symbol
_atom_site_fract_x
_atom_site_fract_y
_atom_site_fract_z
_atom_site_occupancy
Nb1 Nb 0.0000 0.1384 0.0000 1
Nb2 Nb 0.0000 0.1421 0.3277 1
Nb3 Nb 0.1734 0.1417 0.6730 1
Nb4 Nb 0.2461 0.0000 0.9165 1
Si1 Si 0.0000 0.0000 0.5488 1
Si2 Si 0.2500 0.2500 0.4216 1
B1 B 0.0000 0.0000 0.7916 1
B2 B 0.1134 0.0000 0.1673 1
```


9.
Entry from Alexandria via LeMat-Bulk: a relaxed structure of NbSi3B (PBE).

Structure (CIF):
```
data_NbSi3B
_cell_length_a 4.8588
_cell_length_b 4.8588
_cell_length_c 4.8588
_cell_angle_alpha 90.00
_cell_angle_beta 90.00
_cell_angle_gamma 90.00
_space_group_name_H-M_alt 'P m -3 m'
_space_group_IT_number 221
_space_group_name_Hall '-P 4 2 3'
loop_
_atom_site_label
_atom_site_type_symbol
_atom_site_fract_x
_atom_site_fract_y
_atom_site_fract_z
_atom_site_occupancy
Nb1 Nb 0.0000 0.0000 0.0000 1
Si1 Si 0.0000 0.0000 0.5000 1
B1 B 0.5000 0.5000 0.5000 1
```

Its offset from the most stable computed form is 796.4 meV/atom.


10.
Entry from Alexandria via LeMat-Bulk: a relaxed structure of Nb5Si3B (PBE).

Structure (CIF):
```
data_Nb5Si3B
_cell_length_a 7.6717
_cell_length_b 7.6717
_cell_length_c 5.3032
_cell_angle_alpha 90.00
_cell_angle_beta 90.00
_cell_angle_gamma 120.00
_space_group_name_H-M_alt 'P 63/m c m'
_space_group_IT_number 193
_space_group_name_Hall '-P 6c 2'
loop_
_atom_site_label
_atom_site_type_symbol
_atom_site_fract_x
_atom_site_fract_y
_atom_site_fract_z
_atom_site_occupancy
Nb1 Nb 0.0000 0.2467 0.2500 1
Nb2 Nb 0.3333 0.6667 0.0000 1
Si1 Si 0.0000 0.4019 0.7500 1
B1 B 0.0000 0.0000 0.0000 1
```


11.
Entry from Alexandria via LeMat-Bulk: a relaxed structure of Nb5SiB2 (PBE).

Structure (CIF):
```
data_Nb5SiB2
_cell_length_a 6.2748
_cell_length_b 6.2748
_cell_length_c 11.6950
_cell_angle_alpha 90.00
_cell_angle_beta 90.00
_cell_angle_gamma 90.00
_space_group_name_H-M_alt 'I 4/m c m'
_space_group_IT_number 140
_space_group_name_Hall '-I 4 2c'
loop_
_atom_site_label
_atom_site_type_symbol
_atom_site_fract_x
_atom_site_fract_y
_atom_site_fract_z
_atom_site_occupancy
Nb1 Nb 0.0000 0.0000 0.0000 1
Nb2 Nb 0.1693 0.3307 0.1376 1
Si1 Si 0.0000 0.0000 0.2500 1
B1 B 0.1124 0.3876 0.5000 1
```


12.
Entry from Alexandria via LeMat-Bulk: a relaxed structure of Nb8Si2B (PBE).

Structure (CIF):
```
data_Nb8Si2B
_cell_length_a 15.2946
_cell_length_b 4.5548
_cell_length_c 5.6015
_cell_angle_alpha 90.00
_cell_angle_beta 111.43
_cell_angle_gamma 90.00
_space_group_name_H-M_alt 'C 1 2/m 1'
_space_group_IT_number 12
loop_
_space_group_symop_operation_xyz
'x,y,z'
'-x,-y,-z'
'-x,y,-z'
'x,-y,z'
'x+1/2,y+1/2,z'
'-x+1/2,-y+1/2,-z'
'-x+1/2,y+1/2,-z'
'x+1/2,-y+1/2,z'
loop_
_atom_site_label
_atom_site_type_symbol
_atom_site_fract_x
_atom_site_fract_y
_atom_site_fract_z
_atom_site_occupancy
Nb1 Nb 0.0015 0.0000 0.2635 1
Nb2 Nb 0.0883 0.5000 0.2020 1
Nb3 Nb 0.1428 0.5000 0.7758 1
Nb4 Nb 0.2190 0.0000 0.6123 1
Si1 Si 0.1666 0.0000 0.1011 1
B1 B 0.0000 0.5000 0.5000 1
```


Uncorrected formation energy / eV per formula unit: -0.6; -8.3; 9.4; 5.6; 3.7; 3.6; -1.0; -10.7; 7.6; -6.4; -5.4; -2.5